Below is BeSb2As after structural relaxation, with properties calculated at the GGA-PBE level.

The value obtained for the magnetic moment is 0.00 μB/cell. For the uncorrected formation energy, the calculation gives 0.3058 eV per atom. The total energy is -3.85 eV per atom.

Lattice parameters (Å, degrees): 6.199 6.199 6.199 147.43 136.43 55.44
Sites, in units of the cell vectors:
Sb  0.066  0.066  0.000
Sb  0.750  0.250  0.500
As  0.412  0.412  0.000
Be  0.272  0.772  0.500